! Cu2PtAu4 | Alexandria | PBE | relaxed; values from VASP
! DFT formation energy: 0.82 eV per formula unit
! Uncorrected energy: -3.79 eV per atom
&SYSTEM
  ibrav = 0, nat = 7, ntyp = 3
/
ATOMIC_SPECIES
Pt 195.08 Pt.upf
Cu 63.55 Cu.upf
Au 196.97 Au.upf
ATOMIC_POSITIONS angstrom
Pt 0.000 0.000 0.000
Cu 1.966 -3.871 1.822
Cu 0.833 -5.228 3.795
Au 2.109 -1.253 1.126
Au 3.700 -7.218 3.726
Au -0.901 -1.881 1.890
Au 0.457 -2.779 -0.381
CELL_PARAMETERS angstrom
0.915 -5.557 -0.762
4.218 -2.506 2.252
-2.334 -1.035 4.127

! LiLuSb2 | Alexandria | PBE | relaxed; values from VASP
! E_form (uncorrected): -0.554 eV per atom
! Uncorrected energy: -4.22 eV per atom
! Energy above the lowest structure with this stoichiometry: 0.07 eV/f.u.
&SYSTEM
  ibrav = 0, nat = 4, ntyp = 3
/
ATOMIC_SPECIES
Sb 121.76 Sb.upf
Lu 174.97 Lu.upf
Li 6.94 Li.upf
ATOMIC_POSITIONS angstrom
Sb -1.459 -0.605 0.251
Lu -3.687 -0.525 -2.050
Sb -4.452 -1.846 0.767
Li -0.732 0.701 -2.559
CELL_PARAMETERS angstrom
-1.590 3.150 -1.643
0.126 -1.749 -3.475
-5.910 -2.451 1.019

! TlHg4Br | Alexandria | PBE | relaxed; values from VASP
! E_form (uncorrected): -0.162 eV per atom
! Uncorrected energy: -1.04 eV per atom
&SYSTEM
  ibrav = 0, nat = 6, ntyp = 3
/
ATOMIC_SPECIES
Hg 200.59 Hg.upf
Tl 204.38 Tl.upf
Br 79.90 Br.upf
ATOMIC_POSITIONS angstrom
Hg 1.097 -1.215 8.587
Hg -1.842 -2.493 8.173
Tl 0.021 -3.682 11.232
Hg 0.791 -4.272 7.585
Hg 0.011 -1.838 5.607
Br 0.000 0.000 0.000
CELL_PARAMETERS angstrom
1.553 -4.846 3.937
2.163 1.241 5.931
-3.689 -1.304 5.108

! Te4AuS3 | Alexandria | PBE | relaxed; values from VASP
! E_form (uncorrected): 0.158 eV per atom
! Uncorrected energy: -3.37 eV per atom
&SYSTEM
  ibrav = 0, nat = 16, ntyp = 3
/
ATOMIC_SPECIES
S 32.06 S.upf
Te 127.60 Te.upf
Au 196.97 Au.upf
ATOMIC_POSITIONS angstrom
S -4.920 -3.748 6.299
S 3.045 0.106 5.657
S -0.579 2.316 9.457
S -1.589 0.929 13.539
Te 4.627 -1.456 4.739
Au -0.533 -1.739 8.211
Te -5.678 0.615 10.532
Te -2.520 2.812 8.164
Te -1.963 -0.749 10.245
S -3.950 -0.363 8.984
Te -3.901 -1.639 5.484
Au 1.589 -0.562 1.781
S -1.899 -2.188 4.270
Te 1.023 1.032 7.998
Te -0.034 -2.692 5.818
Te 1.059 0.318 4.194
CELL_PARAMETERS angstrom
-2.599 -6.264 1.834
5.338 -0.835 4.715
-5.407 4.680 8.324

! Fe10CuN8 | Alexandria | PBE | relaxed; values from VASP
! E_form (uncorrected): 0.177 eV per atom
! Uncorrected energy: -8.00 eV per atom
&SYSTEM
  ibrav = 0, nat = 19, ntyp = 3
/
ATOMIC_SPECIES
Fe 55.84 Fe.upf
N 14.01 N.upf
Cu 63.55 Cu.upf
ATOMIC_POSITIONS angstrom
Fe 3.021 3.204 4.359
Fe 4.574 2.864 0.932
Fe 7.639 0.260 4.920
N 9.429 1.801 1.584
N 7.693 0.248 2.829
Fe 4.144 1.026 2.824
Cu 1.558 1.592 2.864
N 4.814 0.879 1.102
Fe 6.559 0.497 1.385
N 9.516 -0.151 5.399
N 2.698 3.275 0.453
Fe 9.192 -0.080 1.493
Fe 10.531 1.560 5.770
Fe 1.683 1.564 0.081
N 2.784 1.323 4.268
Fe 5.654 2.628 4.467
N 4.521 2.876 3.023
N 7.400 2.245 4.750
Fe 8.070 2.099 3.028
CELL_PARAMETERS angstrom
9.097 -0.059 0.125
0.808 3.689 0.000
2.309 -0.505 5.727

! Sm4CoHg | Alexandria | PBE | relaxed; values from VASP
! DFT formation energy: -0.67 eV per formula unit
! Uncorrected energy: -4.49 eV per atom
! Energy above the lowest structure with this stoichiometry: 0.87 eV/f.u.
&SYSTEM
  ibrav = 0, nat = 12, ntyp = 3
/
ATOMIC_SPECIES
Sm 150.36 Sm.upf
Co 58.93 Co.upf
Hg 200.59 Hg.upf
ATOMIC_POSITIONS angstrom
Sm -4.176 4.462 0.447
Sm -5.860 3.637 3.614
Sm -2.936 2.246 5.665
Sm -1.397 6.841 0.815
Co 1.029 3.155 3.830
Sm -0.158 4.625 6.033
Hg 0.000 0.000 0.000
Sm 1.527 5.450 2.866
Hg -3.847 1.381 2.922
Sm -3.137 6.015 4.276
Sm -1.197 3.071 2.204
Co -1.515 4.550 -0.272
CELL_PARAMETERS angstrom
-6.391 2.776 -1.180
-1.303 -0.014 7.025
3.360 6.324 0.636

! Nd3SnAs2Rh9 | Alexandria | PBE | relaxed; values from VASP
! DFT formation energy: -6.51 eV per formula unit
! Uncorrected energy: -6.69 eV per atom
&SYSTEM
  ibrav = 0, nat = 15, ntyp = 4
/
ATOMIC_SPECIES
Rh 102.91 Rh.upf
Nd 144.24 Nd.upf
As 74.92 As.upf
Sn 118.71 Sn.upf
ATOMIC_POSITIONS angstrom
Rh -6.880 -4.518 -2.067
Rh -0.123 -2.251 -2.191
Nd -3.156 -1.605 -2.685
Rh -2.156 -2.027 0.278
Rh -6.739 -1.938 0.444
Rh 0.889 -2.931 0.707
Nd 0.000 0.000 0.000
Rh -7.900 -1.159 -2.877
Rh -1.013 0.680 -2.898
As -0.963 -3.798 -0.555
As -8.073 -2.747 -1.235
Sn -4.395 -1.021 1.296
Nd -5.880 -4.940 0.896
Rh -2.297 -4.607 -2.233
Rh -1.136 -5.386 1.088
CELL_PARAMETERS angstrom
-2.025 1.360 -5.795
1.779 -5.863 1.414
-8.790 -2.042 2.592

! NaMgHg4 | Alexandria | PBE | relaxed; values from VASP
! DFT formation energy: -0.78 eV per formula unit
! Uncorrected energy: -0.82 eV per atom
! Energy above the lowest structure with this stoichiometry: 0.24 eV/f.u.
&SYSTEM
  ibrav = 0, nat = 6, ntyp = 3
/
ATOMIC_SPECIES
Hg 200.59 Hg.upf
Na 22.99 Na.upf
Mg 24.30 Mg.upf
ATOMIC_POSITIONS angstrom
Hg 5.103 5.095 3.173
Na 3.402 2.847 4.656
Hg 3.402 2.930 7.868
Mg 0.000 0.000 0.000
Hg 3.402 2.764 1.444
Hg 1.701 0.598 6.139
CELL_PARAMETERS angstrom
3.402 0.000 0.000
1.701 4.894 0.142
1.701 0.799 9.169

! Ba4Ir3O10 | Alexandria | PBE | relaxed; values from VASP
! E_form (uncorrected): -1.725 eV per atom
! Uncorrected energy: -6.66 eV per atom
&SYSTEM
  ibrav = 0, nat = 34, ntyp = 3
/
ATOMIC_SPECIES
O 16.00 O.upf
Ba 137.33 Ba.upf
Ir 192.22 Ir.upf
ATOMIC_POSITIONS angstrom
O -0.483 -6.800 -5.150
O -3.130 -8.154 -4.607
O -1.254 -8.973 -1.747
O -2.588 -5.245 -4.471
O 3.742 -8.009 1.905
O 1.392 -7.619 -2.290
O 0.256 -4.771 0.079
Ba -3.956 -9.787 -2.733
Ba 2.820 -6.223 0.090
O -3.097 -9.718 -9.407
Ir -2.428 -6.795 -5.858
Ba -3.040 -12.852 -5.445
Ba -1.274 -6.295 -2.155
O -4.321 -6.200 -6.357
Ir 0.000 0.000 0.000
O -2.280 -8.155 -7.316
O -5.479 -7.764 -8.802
Ir 0.690 -8.979 -1.039
Ba 1.302 -2.921 -1.452
O 2.583 -9.573 -0.539
Ir -0.829 -4.789 -5.435
O -5.362 -11.163 -4.795
Ba -0.464 -9.478 -4.742
Ba -4.558 -9.551 -6.987
O 3.624 -4.610 -2.102
Ir -1.333 -9.684 -8.293
O 0.543 -7.618 0.420
O -1.732 -11.549 -3.274
O -0.006 -4.224 -3.623
O 0.850 -10.528 -2.426
O 1.359 -6.056 2.510
O -1.993 -11.002 -6.976
Ir -0.404 -6.089 1.396
Ba 2.219 -5.986 -4.164
CELL_PARAMETERS angstrom
-6.367 -6.288 -9.933
4.710 -3.289 -0.937
-0.080 -6.196 3.973

! Mn2BP | Alexandria | PBE | relaxed; values from VASP
! DFT formation energy: 1.30 eV per formula unit
! Uncorrected energy: -7.28 eV per atom
! Energy above the lowest structure with this stoichiometry: 1.63 eV/f.u.
&SYSTEM
  ibrav = 0, nat = 8, ntyp = 3
/
ATOMIC_SPECIES
Mn 54.94 Mn.upf
P 30.97 P.upf
B 10.81 B.upf
ATOMIC_POSITIONS angstrom
Mn -3.318 -1.021 8.494
Mn -1.249 -1.301 6.198
P -1.606 0.870 5.672
B -2.393 -0.084 2.485
P 0.000 0.000 0.000
Mn -1.969 -1.900 3.088
B -2.237 -2.446 4.952
Mn -1.149 1.070 3.465
CELL_PARAMETERS angstrom
-1.762 3.231 3.205
-3.024 -3.399 1.765
0.944 -1.408 5.654

! RbSr2BiH | Alexandria | PBE | relaxed; values from VASP
! Uncorrected energy: -2.69 eV per atom
&SYSTEM
  ibrav = 0, nat = 5, ntyp = 4
/
ATOMIC_SPECIES
Sr 87.62 Sr.upf
Rb 85.47 Rb.upf
H 1.01 H.upf
Bi 208.98 Bi.upf
ATOMIC_POSITIONS angstrom
Sr 0.000 2.739 0.000
Rb 0.000 0.000 2.697
H 0.000 0.000 0.000
Bi 2.739 2.739 2.697
Sr 2.739 0.000 0.000
CELL_PARAMETERS angstrom
5.479 0.000 0.000
0.000 5.479 0.000
0.000 0.000 5.395

! Mg3BiPb2 | Alexandria | PBE | relaxed; values from VASP
! DFT formation energy: -0.39 eV per formula unit
! Uncorrected energy: -2.75 eV per atom
&SYSTEM
  ibrav = 0, nat = 6, ntyp = 3
/
ATOMIC_SPECIES
Mg 24.30 Mg.upf
Pb 207.20 Pb.upf
Bi 208.98 Bi.upf
ATOMIC_POSITIONS angstrom
Mg 3.492 -1.492 1.842
Mg 7.141 -3.052 3.768
Pb 8.539 -5.998 3.583
Bi 4.963 -4.470 1.696
Mg 0.000 0.000 0.000
Pb 1.387 -2.941 -0.190
CELL_PARAMETERS angstrom
-1.705 -2.960 0.834
0.997 -1.435 -3.052
10.633 -4.544 5.610

! In2HgBr | Alexandria | PBE | relaxed; values from VASP
! E_form (uncorrected): -0.198 eV per atom
! Uncorrected energy: -2.06 eV per atom
! Energy above the lowest structure with this stoichiometry: 0.28 eV/f.u.
&SYSTEM
  ibrav = 0, nat = 4, ntyp = 3
/
ATOMIC_SPECIES
Hg 200.59 Hg.upf
In 114.82 In.upf
Br 79.90 Br.upf
ATOMIC_POSITIONS angstrom
Hg 2.960 -0.039 1.760
In 0.000 0.000 0.000
Br 0.905 2.818 1.760
In 3.865 2.779 0.000
CELL_PARAMETERS angstrom
5.920 -0.079 0.000
1.810 5.637 0.000
-3.865 -2.779 3.520

! Cs2SiSbO | Alexandria | PBE | relaxed; values from VASP
! E_form (uncorrected): -0.471 eV per atom
! Uncorrected energy: -3.71 eV per atom
&SYSTEM
  ibrav = 0, nat = 5, ntyp = 4
/
ATOMIC_SPECIES
Sb 121.76 Sb.upf
O 16.00 O.upf
Cs 132.91 Cs.upf
Si 28.09 Si.upf
ATOMIC_POSITIONS angstrom
Sb -0.964 -3.640 3.601
O 0.000 0.000 0.000
Cs -2.930 -1.580 0.941
Si 0.684 -1.575 -0.516
Cs 1.282 -0.485 3.176
CELL_PARAMETERS angstrom
-5.859 -3.160 1.882
1.367 -3.151 -1.033
2.563 -0.970 6.352

! MnCdIn2 | Alexandria | PBE | relaxed; values from VASP
! DFT formation energy: 0.76 eV per formula unit
! Uncorrected energy: -3.70 eV per atom
&SYSTEM
  ibrav = 0, nat = 4, ntyp = 3
/
ATOMIC_SPECIES
In 114.82 In.upf
Mn 54.94 Mn.upf
Cd 112.41 Cd.upf
ATOMIC_POSITIONS angstrom
In -2.241 -5.260 -4.671
In -3.719 -8.727 -7.750
Mn -0.801 -3.943 -0.347
Cd 0.428 -2.585 -2.466
CELL_PARAMETERS angstrom
-3.216 -6.021 -2.021
-0.757 -3.304 -6.260
3.600 2.796 5.468

! KCd3C | Alexandria | PBE | relaxed; values from VASP
! DFT formation energy: 3.96 eV per formula unit
! Uncorrected energy: -1.82 eV per atom
! Energy above the lowest structure with this stoichiometry: 0.00 eV/f.u.
&SYSTEM
  ibrav = 0, nat = 5, ntyp = 3
/
ATOMIC_SPECIES
Cd 112.41 Cd.upf
C 12.01 C.upf
K 39.10 K.upf
ATOMIC_POSITIONS angstrom
Cd 0.000 2.482 0.000
C 0.000 0.000 0.000
K 2.482 2.482 2.482
Cd 2.482 0.000 0.000
Cd 0.000 0.000 2.482
CELL_PARAMETERS angstrom
4.964 0.000 0.000
0.000 4.964 0.000
0.000 0.000 4.964

! Y4AlAg2 | Alexandria | PBE | relaxed; values from VASP
! DFT formation energy: -1.41 eV per formula unit
! Uncorrected energy: -5.25 eV per atom
&SYSTEM
  ibrav = 0, nat = 7, ntyp = 3
/
ATOMIC_SPECIES
Y 88.91 Y.upf
Al 26.98 Al.upf
Ag 107.87 Ag.upf
ATOMIC_POSITIONS angstrom
Y 4.374 2.690 3.116
Al 0.000 0.000 0.000
Ag 1.790 1.101 2.829
Y 6.150 3.782 5.991
Ag 5.230 3.216 8.936
Y 2.645 1.627 8.649
Y 0.870 0.535 5.774
CELL_PARAMETERS angstrom
4.872 0.000 1.522
2.198 4.348 1.522
-0.051 -0.031 8.720

! Ba2Ga2Rh | Alexandria | PBE | relaxed; values from VASP
! DFT formation energy: -2.23 eV per formula unit
! Uncorrected energy: -3.90 eV per atom
! Energy above the lowest structure with this stoichiometry: 0.00 eV/f.u.
&SYSTEM
  ibrav = 0, nat = 10, ntyp = 3
/
ATOMIC_SPECIES
Ba 137.33 Ba.upf
Ga 69.72 Ga.upf
Rh 102.91 Rh.upf
ATOMIC_POSITIONS angstrom
Ba -3.081 0.720 -4.121
Ga -2.516 0.774 -0.307
Ga -11.872 -1.242 -2.871
Ba -11.308 -1.189 0.943
Ba -8.554 -1.364 -2.125
Rh -6.404 0.818 -4.704
Ga -8.566 1.753 -3.723
Rh -7.984 -1.287 1.526
Ba -5.835 0.895 -1.053
Ga -5.822 -2.222 0.545
CELL_PARAMETERS angstrom
-2.896 3.304 0.382
-2.469 1.482 -6.072
-9.024 -5.255 2.512

! RhPb4O6 | Alexandria | PBE | relaxed; values from VASP
! E_form (uncorrected): -0.834 eV per atom
! Uncorrected energy: -5.55 eV per atom
&SYSTEM
  ibrav = 0, nat = 22, ntyp = 3
/
ATOMIC_SPECIES
O 16.00 O.upf
Pb 207.20 Pb.upf
Rh 102.91 Rh.upf
ATOMIC_POSITIONS angstrom
O 4.778 5.206 7.134
Pb 8.461 4.906 10.144
O 5.978 0.665 8.624
Pb 5.491 2.258 10.449
Rh 6.653 4.955 7.170
O 3.578 2.142 11.789
Pb 6.522 5.079 13.552
O 4.531 3.729 3.169
Pb 1.660 2.579 3.165
O 6.303 4.536 11.327
Rh 1.996 1.891 10.781
O 2.942 1.298 9.245
O 6.712 1.255 12.076
O 6.275 1.164 5.261
Pb 4.860 5.951 10.189
Pb 4.862 1.706 6.992
O 6.715 4.363 5.367
Pb 3.926 5.323 4.959
O 6.768 6.004 8.859
Pb 5.133 1.534 3.081
O 7.254 2.631 2.948
O 2.009 4.320 5.637
CELL_PARAMETERS angstrom
6.447 0.000 1.947
2.936 6.437 1.927
0.159 0.308 11.124

! KScCu2 | Alexandria | PBE | relaxed; values from VASP
! DFT formation energy: 2.32 eV per formula unit
! Uncorrected energy: -3.32 eV per atom
! Energy above the lowest structure with this stoichiometry: 1.99 eV/f.u.
&SYSTEM
  ibrav = 0, nat = 4, ntyp = 3
/
ATOMIC_SPECIES
Cu 63.55 Cu.upf
Sc 44.96 Sc.upf
K 39.10 K.upf
ATOMIC_POSITIONS angstrom
Cu 1.258 2.516 1.479
Cu 0.000 0.000 0.000
Sc 2.813 0.000 1.479
K 4.072 2.516 0.000
CELL_PARAMETERS angstrom
5.626 0.000 0.000
2.517 5.032 0.000
-4.072 -2.516 2.958